First-principles (GGA-PBE) data for a geometry-optimized Li21Mg2Zn6 structure, as listed in Alexandria.

Energy of formation from the pure elements   -0.013 eV/atom
Symmetry   Fm-3m, No. 225
Magnetization   0.000 Bohr magnetons per cell
Raw total energy   -1.773 eV per atom

Geometry as POSCAR:
```
Li21Mg2Zn6
1.0
-8.485 -3.279 -1.739
-1.465 -9.141 -0.278
-4.843 -4.121 6.734
Li Mg Zn
21 2 6
Cartesian
0.000 0.000 0.000
-6.848 -8.277 -0.303
-9.168 -10.251 2.923
-8.466 -5.872 3.056
-5.103 -8.680 3.757
-7.945 -8.263 5.020
-5.625 -6.289 1.793
-6.326 -10.668 1.660
-9.690 -7.860 0.960
-7.213 -3.573 1.219
-2.644 -7.388 2.170
-1.691 -1.439 2.351
-0.953 -5.949 -0.181
-5.523 -2.134 -1.132
-3.152 -2.682 4.383
-0.511 -3.191 -0.097
-3.663 -5.873 4.286
-6.034 -5.326 -1.229
-6.114 -3.827 3.776
-2.962 -1.145 -0.607
-3.916 -7.094 -0.788
-11.094 -12.405 3.538
-3.698 -4.135 1.179
-4.678 -8.669 1.150
-7.895 -5.983 0.480
-8.567 -10.172 0.353
-10.115 -7.871 3.567
-6.897 -10.558 4.237
-6.226 -6.368 4.364
```